# YHfSnIr2 PBE-GGA relaxed
data_YHfSnIr2
_cell_length_a 4.948
_cell_length_b 4.948
_cell_length_c 5.227
_cell_angle_alpha 90.00
_cell_angle_beta 90.00
_cell_angle_gamma 90.00
_symmetry_space_group_name_H-M 'P 1'
_symmetry_Int_Tables_number 1
_symmetry_space_group_name_Hall 'P 1'
loop_
_atom_site_label
_atom_site_fract_x
_atom_site_fract_y
_atom_site_fract_z
Y1 0.000 0.000 0.000
Hf1 0.000 0.000 0.500
Sn1 0.500 0.500 0.500
Ir1 0.000 0.500 0.000
Ir2 0.500 0.000 0.000
# magnetic moment = 0.0 μB per cell
# calculated formation energy = 1.5035 eV/atom
# E = -30.6 eV/cell
# SG = P4/mmm (123)
# theoretical density = 10.00 g/cm3
# D(E_F) = 5.792 states/eV/f.u.

***

# MnBe2As2 PBE-GGA relaxed
data_MnBe2As2
_cell_length_a 5.574
_cell_length_b 5.574
_cell_length_c 5.574
_cell_angle_alpha 137.62
_cell_angle_beta 137.62
_cell_angle_gamma 61.48
_symmetry_space_group_name_H-M 'P 1'
_symmetry_Int_Tables_number 1
_symmetry_space_group_name_Hall 'P 1'
loop_
_atom_site_label
_atom_site_fract_x
_atom_site_fract_y
_atom_site_fract_z
Mn1 0.000 0.000 0.000
Be1 0.390 0.390 0.000
Be2 0.610 0.610 0.000
As1 0.250 0.750 0.500
As2 0.750 0.250 0.500
# magnetic moment = 4.8 μB per cell
# calculated formation energy = 0.4817 eV/atom
# E = -23.5 eV/cell
# SG = I4/mmm (139)
# theoretical density = 4.76 g/cm3
# D(E_F) = 1.940 states/eV/f.u.

***

# TlTcAs2 PBE-GGA relaxed
data_TlTcAs2
_cell_length_a 3.075
_cell_length_b 3.075
_cell_length_c 9.296
_cell_angle_alpha 90.00
_cell_angle_beta 90.00
_cell_angle_gamma 90.00
_symmetry_space_group_name_H-M 'P 1'
_symmetry_Int_Tables_number 1
_symmetry_space_group_name_Hall 'P 1'
loop_
_atom_site_label
_atom_site_fract_x
_atom_site_fract_y
_atom_site_fract_z
Tl1 0.000 0.000 0.000
Tc1 0.500 0.500 0.500
As1 0.000 0.000 0.339
As2 0.000 0.000 0.661
# magnetic moment = 0.0 μB per cell
# energy above the most stable polymorph in this dataset = 0.11 eV/f.u.
# calculated formation energy = -0.0961 eV/atom
# E = -22.4 eV/cell
# SG = P4/mmm (123)
# theoretical density = 8.54 g/cm3
# D(E_F) = 2.097 states/eV/f.u.